{"formula": "Gd3Mg3TlIr2", "functional": "PBE", "state": "relaxed", "cell": [[7.439, 0.000, 0.000], [-3.720, 6.443, 0.000], [0.000, 0.000, 4.224]], "species": ["Gd", "Gd", "Gd", "Ir", "Ir", "Mg", "Mg", "Mg", "Tl"], "fractional_positions": [[0.426, 0.000, 0.000], [0.000, 0.426, 0.000], [0.574, 0.574, 0.000], [0.667, 0.333, 0.500], [0.333, 0.667, 0.500], [0.740, 0.000, 0.500], [0.260, 0.260, 0.500], [0.000, 0.740, 0.500], [0.000, 0.000, 0.000]], "magmom_total_mub_per_atom": 0.0015, "space_group": "P-62m", "crystal_system": "hexagonal", "energy_ev_per_atom": -4.78}

{"formula": "AgAsOs2", "functional": "PBE", "state": "relaxed", "cell": [[-4.427, 0.117, 0.578], [-2.665, 1.154, -3.392], [-2.589, -3.072, -1.951]], "species": ["Ag", "As", "Os", "Os"], "fractional_positions": [[0.250, 0.250, 0.250], [0.500, 0.500, 0.500], [0.000, 0.000, 0.000], [0.750, 0.750, 0.750]], "magmom_total_mub_per_atom": 0.0012, "space_group": "F-43m", "crystal_system": "cubic", "energy_ev_per_atom": -6.66}

{"formula": "Hf4CdGaN2", "functional": "PBE", "state": "relaxed", "cell": [[-0.287, -3.176, 0.493], [0.989, 1.922, 2.396], [-13.587, 1.867, 4.114]], "species": ["Cd", "Ga", "Hf", "Hf", "Hf", "Hf", "N", "N"], "fractional_positions": [[0.667, 0.333, 0.500], [0.000, 0.000, 0.000], [0.667, 0.333, 0.155], [0.000, 0.000, 0.328], [0.000, 0.000, 0.672], [0.667, 0.333, 0.845], [0.333, 0.667, 0.243], [0.333, 0.667, 0.757]], "magmom_total_mub_per_atom": 0.0021, "space_group": "P-6m2", "crystal_system": "hexagonal", "energy_ev_per_atom": -8.59}

{"formula": "BaAgB2", "functional": "PBE", "state": "relaxed", "cell": [[0.000, 3.413, 3.413], [3.413, 0.000, 3.413], [3.413, 3.413, 0.000]], "species": ["Ag", "B", "B", "Ba"], "fractional_positions": [[0.750, 0.750, 0.750], [0.250, 0.250, 0.250], [0.500, 0.500, 0.500], [0.000, 0.000, 0.000]], "space_group": "F-43m", "crystal_system": "cubic", "energy_ev_per_atom": -2.98}

{"formula": "RbTbTe3Au", "functional": "PBE", "state": "relaxed", "cell": [[5.315, 1.599, -6.766], [-6.685, -4.249, 3.722], [-7.146, 7.977, -3.728]], "species": ["Au", "Au", "Rb", "Rb", "Tb", "Tb", "Te", "Te", "Te", "Te", "Te", "Te"], "fractional_positions": [[0.034, 0.966, 0.250], [0.966, 0.034, 0.750], [0.745, 0.255, 0.250], [0.255, 0.745, 0.750], [0.500, 0.500, 0.000], [0.500, 0.500, 0.500], [0.128, 0.872, 0.050], [0.426, 0.574, 0.250], [0.128, 0.872, 0.450], [0.872, 0.128, 0.550], [0.574, 0.426, 0.750], [0.872, 0.128, 0.950]], "magmom_total_mub_per_atom": 0.0006, "space_group": "Cmcm", "crystal_system": "orthorhombic", "energy_ev_per_atom": -3.97}

{"formula": "ZrAl", "functional": "PBE", "state": "relaxed", "cell": [[5.116, 0.000, 0.000], [0.000, 6.369, 0.000], [0.000, 0.000, 4.843]], "species": ["Al", "Al", "Al", "Al", "Zr", "Zr", "Zr", "Zr"], "fractional_positions": [[0.982, 0.000, 0.000], [0.341, 0.000, 0.500], [0.859, 0.224, 0.500], [0.859, 0.776, 0.500], [0.473, 0.232, 0.000], [0.960, 0.500, 0.000], [0.473, 0.768, 0.000], [0.386, 0.500, 0.500]], "magmom_total_mub_per_atom": 0.0380, "space_group": "Pmm2", "crystal_system": "orthorhombic", "energy_ev_per_atom": -6.36}

What is the formula in the fifth record? RbTbTe3Au